[1]
DFT (GGA-PBE) results for Be2TcMo after structural relaxation.

Lattice parameters (Å, degrees): 5.710 5.710 5.710 90.00 90.00 90.00
Space group Fm-3m (No. 225)
Inequivalent atoms, fractional coordinates:
Be (0.250, 0.250, 0.250) x8
Tc (0.000, 0.000, 0.000) x4
Mo (0.000, 0.000, 0.500) x4

Results
Fermi-level density of states (states/eV/atom): 0.64
Uncorrected energy (eV per atom): -7.0731
Formation enthalpy at 0 K (eV per atom): 0.09
Calculated density (g/cm3): 7.563

[2]
DFT (GGA-PBE) results for Be2TcMo after structural relaxation.

Lattice parameters (Å, degrees): 5.217 7.170 2.629 90.00 101.77 90.00
Space group C2/m (No. 12)
Inequivalent atoms, fractional coordinates:
Be (0.250, 0.250, 0.000) x4
Tc (0.000, 0.000, 0.500) x2
Mo (0.000, 0.500, 0.500) x2

Results
Fermi-level density of states (states/eV/atom): 0.51
Uncorrected energy (eV per atom): -7.0944
Formation enthalpy at 0 K (eV per atom): 0.07
Calculated density (g/cm3): 7.313

[3]
DFT (GGA-PBE) results for BeTc3Mo after structural relaxation.

Lattice parameters (Å, degrees): 4.650 4.650 4.650 90.00 90.00 90.00
Space group Pm-3m (No. 221)
Inequivalent atoms, fractional coordinates:
Be (0.000, 0.000, 0.000) x1
Tc (0.000, 0.500, 0.500) x3
Mo (0.500, 0.500, 0.500) x1

Results
Fermi-level density of states (states/eV/atom): 1.05
Uncorrected energy (eV per atom): -7.1454
Formation enthalpy at 0 K (eV per atom): 1.99
Calculated density (g/cm3): 6.590